# MoPtF2 (PBE+U, optimized geometry)
# - energy above the most stable polymorph in this dataset (meV per atom) = 0
# - total moment (μB/cell) = 6.8
data_MoPtF2
_chemical_formula_sum 'Mo2 Pt2 F4'
_cell_length_a 3.990
_cell_length_b 3.990
_cell_length_c 8.175
_cell_angle_alpha 75.87
_cell_angle_beta 75.87
_cell_angle_gamma 90.00
_symmetry_space_group_name_H-M 'P 1'
_symmetry_Int_Tables_number 1
loop_
_symmetry_equiv_pos_as_xyz
'x,y,z'
loop_
_atom_site_label
_atom_site_type_symbol
_atom_site_fract_x
_atom_site_fract_y
_atom_site_fract_z
Mo1 Mo 0.500 0.500 0.000
Mo2 Mo 0.250 0.750 0.500
Pt1 Pt 0.000 0.000 0.000
Pt2 Pt 0.750 0.250 0.500
F1 F 0.555 0.125 0.250
F2 F 0.195 0.625 0.250
F3 F 0.375 0.445 0.750
F4 F 0.875 0.805 0.750